*P*
NdEuGa | PBE | optimized geometry

Output
* Fermi-level density of states: 2.178 states/eV/atom
* V: 32.93 A^3/atom
* symmetry: F-43m (216)

Cell lengths 5.1888, 5.1888, 5.1888 Å; angles 60.00, 60.00, 60.00 degrees
Closest atoms and distances in Å follow each position.
Element x y z (fractional)
Ga: 0.2500 0.2500 0.2500  4 Nd 3.18, 4 Eu 3.18
Eu: 0.5000 0.5000 0.5000  4 Ga 3.18
Nd: 0.0000 0.0000 0.0000  4 Ga 3.18


*Q*
NdEuGa | PBE | optimized geometry

Output
* Fermi-level density of states: 0.814 states/eV/atom
* V: 28.96 A^3/atom
* symmetry: P3m1 (156)

Cell lengths 3.8110, 5.1302, 5.1302 Å; angles 120.00, 90.00, 90.00 degrees
Closest atoms and distances in Å follow each position.
Element x y z (fractional)
Eu: 0.9689 0.0000 0.0000  3 Ga 3.21, 3 Nd 3.37
Nd: 0.3896 0.3333 0.6667  3 Ga 3.11, 3 Eu 3.37
Ga: 0.6415 0.6667 0.3333  3 Nd 3.11, 3 Eu 3.21


So which one wins? Going from most stable to least: *Q*, *P*.


*P*
Nd2EuGa | PBE | optimized geometry

Output
* Fermi-level density of states: 1.019 states/eV/atom
* V: 31.78 A^3/atom
* symmetry: P4/mmm (123)

Cell lengths 3.7348, 3.7348, 9.1136 Å; angles 90.00, 90.00, 90.00 degrees
Closest atoms and distances in Å follow each position.
Element x y z (fractional)
Nd: 0.0000 0.0000 0.8060  4 Ga 3.18, 1 Nd 3.54
Nd: 0.0000 0.0000 0.1940  4 Ga 3.18, 1 Nd 3.54
Eu: 0.5000 0.5000 0.5000  4 Eu 3.73, 8 Nd 3.84
Ga: 0.5000 0.5000 0.0000  8 Nd 3.18


*Q*
Nd2EuGa | PBE | optimized geometry

Output
* Fermi-level density of states: 1.262 states/eV/atom
* V: 29.36 A^3/atom
* symmetry: Fm-3m (225)

Cell lengths 5.4968, 5.4968, 5.4968 Å; angles 60.00, 60.00, 60.00 degrees
Closest atoms and distances in Å follow each position.
Element x y z (fractional)
Eu: 0.0000 0.0000 0.0000  8 Nd 3.37
Ga: 0.5000 0.5000 0.5000  8 Nd 3.37
Nd: 0.2500 0.2500 0.2500  4 Eu 3.37, 4 Ga 3.37
Nd: 0.7500 0.7500 0.7500  4 Ga 3.37, 4 Eu 3.37


*R*
Nd2EuGa | PBE | optimized geometry

Output
* Fermi-level density of states: 1.132 states/eV/atom
* V: 29.23 A^3/atom
* symmetry: P4/mmm (123)

Cell lengths 4.7616, 4.9553, 4.9553 Å; angles 90.00, 90.00, 90.00 degrees
Closest atoms and distances in Å follow each position.
Element x y z (fractional)
Nd: 0.0000 0.5000 0.0000  4 Ga 3.44, 4 Eu 3.44, 4 Nd 3.50
Nd: 0.0000 0.0000 0.5000  4 Ga 3.44, 4 Eu 3.44, 4 Nd 3.50
Ga: 0.5000 0.5000 0.5000  8 Nd 3.44, 4 Eu 3.50
Eu: 0.5000 0.0000 0.0000  8 Nd 3.44, 4 Ga 3.50


So which one wins? Going from most stable to least: *P*, *R*, *Q*.


*P*
EuPaGa2 | PBE | optimized geometry

Output
* Fermi-level density of states: 0.795 states/eV/atom
* V: 23.80 A^3/atom
* symmetry: Fm-3m (225)

Cell lengths 5.1256, 5.1256, 5.1256 Å; angles 60.00, 60.00, 60.00 degrees
Closest atoms and distances in Å follow each position.
Element x y z (fractional)
Eu: 0.5000 0.5000 0.5000  8 Ga 3.14
Ga: 0.2500 0.2500 0.2500  4 Pa 3.14, 4 Eu 3.14
Ga: 0.7500 0.7500 0.7500  4 Eu 3.14, 4 Pa 3.14
Pa: 0.0000 0.0000 0.0000  8 Ga 3.14


*Q*
EuPaGa2 | PBE | optimized geometry

Output
* Fermi-level density of states: 1.017 states/eV/atom
* V: 23.36 A^3/atom
* symmetry: P4/mmm (123)

Cell lengths 3.3155, 3.3155, 8.5010 Å; angles 90.00, 90.00, 90.00 degrees
Closest atoms and distances in Å follow each position.
Element x y z (fractional)
Ga: 0.0000 0.0000 0.7613  4 Pa 3.10, 4 Eu 3.23, 4 Ga 3.32
Ga: 0.0000 0.0000 0.2387  4 Pa 3.10, 4 Eu 3.23, 4 Ga 3.32
Eu: 0.5000 0.5000 0.5000  8 Ga 3.23, 4 Eu 3.32
Pa: 0.5000 0.5000 0.0000  8 Ga 3.10, 4 Pa 3.32


*R*
EuPaGa2 | PBE | optimized geometry

Output
* Fermi-level density of states: 1.174 states/eV/atom
* V: 25.09 A^3/atom
* symmetry: R-3m (166)

Cell lengths 3.2011, 3.2011, 11.4589 Å; angles 81.97, 81.97, 60.00 degrees
Closest atoms and distances in Å follow each position.
Element x y z (fractional)
Eu: 0.0000 0.0000 0.0000  2 Ga 3.07, 6 Eu 3.20
Ga: 0.0904 0.0904 0.7287  1 Eu 3.07, 3 Pa 3.18, 6 Ga 3.20
Ga: 0.9096 0.9096 0.2713  1 Eu 3.07, 3 Pa 3.18, 6 Ga 3.20
Pa: 0.5000 0.5000 0.5000  6 Ga 3.18, 6 Pa 3.20


So which one wins? Going from most stable to least: *Q*, *P*, *R*.